a | Computed, not measured: a geometry-optimized Li2Sb2Br structure at the PBE level of DFT.

Geometry as POSCAR:
```
Li2Sb2Br
1.0
-2.423 -3.373 -0.175
0.213 0.062 -4.151
5.321 -6.285 -1.903
Li Sb Br
2 2 1
Direct
0.397 0.397 0.205 Li
0.603 0.603 0.795 Li
0.250 0.750 0.500 Sb
0.750 0.250 0.500 Sb
0.000 0.000 0.000 Br
```

Density of states at the Fermi level = 2.26 states/eV/cell
SG = I4/mmm, No. 139
ρ = 4.1 g/cm³


b | Computed, not measured: a geometry-optimized Li2Sb2Br structure at the PBE level of DFT.

Geometry as POSCAR:
```
Li2Sb2Br
1.0
7.750 0.000 0.000
0.000 7.750 0.000
0.000 0.000 4.276
Sb Br Li
4 2 4
Direct
0.880 0.380 0.500 Sb
0.620 0.880 0.500 Sb
0.120 0.620 0.500 Sb
0.380 0.120 0.500 Sb
0.500 0.500 0.000 Br
0.000 0.000 0.000 Br
0.324 0.824 0.000 Li
0.176 0.324 0.000 Li
0.676 0.176 0.000 Li
0.824 0.676 0.000 Li
```

Density of states at the Fermi level = 2.86 states/eV/cell
SG = P4/mbm, No. 127
ρ = 4.4 g/cm³


Most favorable first, least favorable last: a, b


a | Computed, not measured: a geometry-optimized LiSb2TeBr structure at the PBE level of DFT.

Geometry as POSCAR:
```
LiSb2TeBr
1.0
-1.072 -3.225 4.367
-4.283 -2.233 -2.701
3.567 -4.173 -2.206
Br Sb Li Te
1 2 1 1
Direct
0.000 0.000 0.000 Br
0.500 0.000 0.000 Sb
0.000 0.500 0.000 Sb
0.500 0.500 0.500 Li
0.000 0.000 0.500 Te
```

Density of states at the Fermi level = 7.19 states/eV/cell
SG = P4/mmm, No. 123
ρ = 4.2 g/cm³


b | Computed, not measured: a geometry-optimized LiSb2TeBr structure at the PBE level of DFT.

Geometry as POSCAR:
```
LiSb2TeBr
1.0
5.218 0.000 0.000
0.000 5.218 0.000
0.000 0.000 4.922
Te Br Sb Li
1 1 2 1
Direct
0.000 0.000 0.500 Te
0.500 0.500 0.500 Br
0.000 0.500 0.000 Sb
0.500 0.000 0.000 Sb
0.000 0.000 0.000 Li
```

Density of states at the Fermi level = 5.01 states/eV/cell
SG = P4/mmm, No. 123
ρ = 5.7 g/cm³


Most favorable first, least favorable last: b, a


a | Computed, not measured: a geometry-optimized LiScBr structure at the PBE level of DFT.

Geometry as POSCAR:
```
LiScBr
1.0
-0.581 0.335 3.434
2.313 -2.354 -1.161
4.788 4.524 0.369
Sc Li Br
1 1 1
Direct
0.667 0.333 0.694 Sc
0.333 0.667 0.316 Li
0.000 0.000 0.991 Br
```

Density of states at the Fermi level = 1.26 states/eV/cell
SG = P3m1, No. 156
ρ = 3.1 g/cm³


b | Computed, not measured: a geometry-optimized LiScBr structure at the PBE level of DFT.

Geometry as POSCAR:
```
LiScBr
1.0
-4.404 1.816 -0.175
-3.584 -2.220 2.225
-1.940 1.928 3.904
Sc Br Li
1 1 1
Direct
0.750 0.750 0.750 Sc
0.000 0.000 0.000 Br
0.500 0.500 0.500 Li
```

Density of states at the Fermi level = 3.61 states/eV/cell
SG = F-43m, No. 216
ρ = 2.9 g/cm³


c | Computed, not measured: a geometry-optimized LiScBr structure at the PBE level of DFT.

Geometry as POSCAR:
```
LiScBr
1.0
4.651 0.000 0.000
-2.325 4.028 0.000
0.000 0.000 3.707
Li Br Sc
1 1 1
Direct
0.333 0.667 0.253 Li
0.000 0.000 0.962 Br
0.667 0.333 0.785 Sc
```

Density of states at the Fermi level = 3.01 states/eV/cell
SG = P3m1, No. 156
ρ = 3.2 g/cm³


d | Computed, not measured: a geometry-optimized LiScBr structure at the PBE level of DFT.

Geometry as POSCAR:
```
LiScBr
1.0
7.291 -0.007 0.005
6.086 3.241 0.013
1.206 -1.292 2.980
Br Sc Li
1 1 1
Direct
0.004 0.004 0.996 Br
0.343 0.343 0.657 Sc
0.653 0.653 0.347 Li
```

Density of states at the Fermi level = 1.98 states/eV/cell
SG = Fmm2, No. 42
ρ = 3.1 g/cm³


Most favorable first, least favorable last: a, d, c, b


a | Computed, not measured: a geometry-optimized LiScBr structure at the PBE level of DFT.

Geometry as POSCAR:
```
LiScBr
1.0
6.661 0.031 0.000
4.949 4.459 0.000
-5.805 -2.245 2.373
Sc Li Br
1 1 1
Direct
0.651 0.651 0.000 Sc
0.333 0.333 0.000 Li
0.016 0.016 0.000 Br
```

Density of states at the Fermi level = 2.22 states/eV/cell
SG = I4mm, No. 107
ρ = 3.1 g/cm³


b | Computed, not measured: a geometry-optimized LiScBr structure at the PBE level of DFT.

Geometry as POSCAR:
```
LiScBr
1.0
-2.537 1.877 3.339
-3.590 -2.292 1.721
0.191 -1.703 4.263
Sc Li Br
1 1 1
Direct
0.500 0.500 0.500 Sc
0.000 0.000 0.000 Li
0.750 0.750 0.750 Br
```

Density of states at the Fermi level = 3.52 states/eV/cell
SG = F-43m, No. 216
ρ = 3.2 g/cm³


c | Computed, not measured: a geometry-optimized LiScBr structure at the PBE level of DFT.

Geometry as POSCAR:
```
LiScBr
1.0
4.773 0.000 0.000
2.387 4.134 0.000
2.387 1.378 3.897
Br Li Sc
1 1 1
Direct
0.500 0.500 0.500 Br
0.750 0.750 0.750 Li
0.000 0.000 0.000 Sc
```

Density of states at the Fermi level = 3.98 states/eV/cell
SG = F-43m, No. 216
ρ = 2.8 g/cm³


Most favorable first, least favorable last: a, b, c


a | Computed, not measured: a geometry-optimized LiScBr2 structure at the PBE level of DFT.

Geometry as POSCAR:
```
LiScBr2
1.0
5.825 0.079 -0.005
-0.007 5.826 -0.005
1.484 1.506 2.970
Li Sc Br
1 1 2
Direct
0.500 0.000 0.500 Li
0.000 0.500 0.500 Sc
0.500 0.500 0.000 Br
0.000 0.000 0.000 Br
```

Density of states at the Fermi level = 3.06 states/eV/cell
SG = C2/m, No. 12
ρ = 3.5 g/cm³


b | Computed, not measured: a geometry-optimized LiScBr2 structure at the PBE level of DFT.

Geometry as POSCAR:
```
LiScBr2
1.0
0.000 3.491 3.491
3.491 0.000 3.491
3.491 3.491 0.000
Li Br Sc
1 2 1
Direct
0.000 0.000 0.000 Li
0.250 0.250 0.250 Br
0.750 0.750 0.750 Br
0.500 0.500 0.500 Sc
```

Density of states at the Fermi level = 1.26 states/eV/cell
SG = Fm-3m, No. 225
ρ = 4.1 g/cm³


Most favorable first, least favorable last: a, b


a | Computed, not measured: a geometry-optimized LiScBr2 structure at the PBE level of DFT.

Geometry as POSCAR:
```
LiScBr2
1.0
5.446 0.000 0.000
0.000 3.701 0.034
0.000 1.802 4.850
Br Li Sc
2 1 1
Direct
0.000 0.874 0.876 Br
0.500 0.179 0.268 Br
0.000 0.549 0.526 Li
0.500 0.898 0.830 Sc
```

Density of states at the Fermi level = 3.03 states/eV/cell
SG = Amm2, No. 38
ρ = 3.6 g/cm³


b | Computed, not measured: a geometry-optimized LiScBr2 structure at the PBE level of DFT.

Geometry as POSCAR:
```
LiScBr2
1.0
-4.487 5.521 3.459
-6.537 2.591 3.624
-3.984 3.130 6.075
Sc Br Li
1 2 1
Direct
0.750 0.750 0.750 Sc
0.991 0.991 0.991 Br
0.509 0.509 0.509 Br
0.250 0.250 0.250 Li
```

Density of states at the Fermi level = 0.89 states/eV/cell
SG = R-3m, No. 166
ρ = 4.1 g/cm³


Most favorable first, least favorable last: b, a